The following is a DFT calculation (SCAN) of Al5Ag4 at its PBEsol-relaxed geometry.

Output
Offset from the most stable computed form, meV per atom: 41
ΔH_f (0 K), kJ/mol of formula units: -27
Crystal system: tetragonal

CIF file:
```
data_Al5Ag4
_chemical_formula_sum 'Al5 Ag4'
_space_group_name_H-M_alt 'P 1'
_space_group_IT_number 1
_space_group_name_Hall 'P 1'
_cell_length_a 6.364
_cell_length_b 6.364
_cell_length_c 6.364
_cell_angle_alpha 95.70
_cell_angle_beta 95.70
_cell_angle_gamma 143.26
loop_
_atom_site_label
_atom_site_type_symbol
_atom_site_fract_x
_atom_site_fract_y
_atom_site_fract_z
_atom_site_occupancy
Al1 Al 0.000 0.000 0.000 1
Al2 Al 0.333 0.333 0.665 1
Al3 Al 0.333 0.667 0.000 1
Al4 Al 0.667 0.333 0.000 1
Al5 Al 0.667 0.667 0.335 1
Ag1 Ag 0.000 0.324 0.324 1
Ag2 Ag 0.000 0.676 0.676 1
Ag3 Ag 0.324 0.000 0.324 1
Ag4 Ag 0.676 0.000 0.676 1
```

The following is a DFT calculation (SCAN) of Al6Ag at its PBEsol-relaxed geometry.

Output
Offset from the most stable computed form, meV per atom: 0
ΔH_f (0 K), kJ/mol of formula units: -22
Crystal system: trigonal

CIF file:
```
data_Al6Ag
_chemical_formula_sum 'Al6 Ag1'
_space_group_name_H-M_alt 'P 1'
_space_group_IT_number 1
_space_group_name_Hall 'P 1'
_cell_length_a 16.016
_cell_length_b 16.016
_cell_length_c 16.016
_cell_angle_alpha 10.27
_cell_angle_beta 10.27
_cell_angle_gamma 10.27
loop_
_atom_site_label
_atom_site_type_symbol
_atom_site_fract_x
_atom_site_fract_y
_atom_site_fract_z
_atom_site_occupancy
Al1 Al 0.072 0.072 0.072 1
Al2 Al 0.214 0.214 0.214 1
Al3 Al 0.357 0.357 0.357 1
Al4 Al 0.643 0.643 0.643 1
Al5 Al 0.786 0.786 0.786 1
Al6 Al 0.928 0.928 0.928 1
Ag1 Ag 0.500 0.500 0.500 1
```

The following is a DFT calculation (SCAN) of Al3Ag at its PBEsol-relaxed geometry.

Output
ΔH_f (0 K), kJ/mol of formula units: -7
Crystal system: orthorhombic

CIF file:
```
data_Al3Ag
_chemical_formula_sum 'Al12 Ag4'
_space_group_name_H-M_alt 'P 1'
_space_group_IT_number 1
_space_group_name_Hall 'P 1'
_cell_length_a 7.933
_cell_length_b 7.977
_cell_length_c 4.128
_cell_angle_alpha 90.00
_cell_angle_beta 90.00
_cell_angle_gamma 90.00
loop_
_atom_site_label
_atom_site_type_symbol
_atom_site_fract_x
_atom_site_fract_y
_atom_site_fract_z
_atom_site_occupancy
Al1 Al 0.000 0.122 0.250 1
Al2 Al 0.000 0.878 0.750 1
Al3 Al 0.249 0.377 0.250 1
Al4 Al 0.249 0.623 0.750 1
Al5 Al 0.251 0.123 0.750 1
Al6 Al 0.251 0.877 0.250 1
Al7 Al 0.500 0.378 0.750 1
Al8 Al 0.500 0.622 0.250 1
Al9 Al 0.749 0.123 0.750 1
Al10 Al 0.749 0.877 0.250 1
Al11 Al 0.751 0.377 0.250 1
Al12 Al 0.751 0.623 0.750 1
Ag1 Ag 0.000 0.368 0.750 1
Ag2 Ag 0.000 0.632 0.250 1
Ag3 Ag 0.500 0.132 0.250 1
Ag4 Ag 0.500 0.868 0.750 1
```

The following is a DFT calculation (SCAN) of Al7Ag4 at its PBEsol-relaxed geometry.

Output
Offset from the most stable computed form, meV per atom: 24
ΔH_f (0 K), kJ/mol of formula units: -47
Crystal system: triclinic

CIF file:
```
data_Al7Ag4
_chemical_formula_sum 'Al7 Ag4'
_space_group_name_H-M_alt 'P 1'
_space_group_IT_number 1
_space_group_name_Hall 'P 1'
_cell_length_a 4.877
_cell_length_b 6.368
_cell_length_c 6.438
_cell_angle_alpha 109.25
_cell_angle_beta 103.95
_cell_angle_gamma 96.97
loop_
_atom_site_label
_atom_site_type_symbol
_atom_site_fract_x
_atom_site_fract_y
_atom_site_fract_z
_atom_site_occupancy
Al1 Al 0.000 0.000 0.000 1
Al2 Al 0.094 0.814 0.365 1
Al3 Al 0.195 0.639 0.728 1
Al4 Al 0.455 0.094 0.821 1
Al5 Al 0.545 0.906 0.179 1
Al6 Al 0.805 0.361 0.272 1
Al7 Al 0.906 0.186 0.635 1
Ag1 Ag 0.267 0.451 0.092 1
Ag2 Ag 0.348 0.263 0.450 1
Ag3 Ag 0.652 0.737 0.550 1
Ag4 Ag 0.733 0.549 0.908 1
```

The following is a DFT calculation (SCAN) of AlAg at its PBEsol-relaxed geometry.

Output
ΔH_f (0 K), kJ/mol of formula units: -19
Crystal system: hexagonal

CIF file:
```
data_AlAg
_chemical_formula_sum 'Al1 Ag1'
_space_group_name_H-M_alt 'P 1'
_space_group_IT_number 1
_space_group_name_Hall 'P 1'
_cell_length_a 2.917
_cell_length_b 2.917
_cell_length_c 4.381
_cell_angle_alpha 90.00
_cell_angle_beta 90.00
_cell_angle_gamma 120.00
loop_
_atom_site_label
_atom_site_type_symbol
_atom_site_fract_x
_atom_site_fract_y
_atom_site_fract_z
_atom_site_occupancy
Al1 Al 0.000 0.000 0.000 1
Ag1 Ag 0.333 0.667 0.500 1
```

The following is a DFT calculation (SCAN) of Al7Ag5 at its PBEsol-relaxed geometry.

Output
Offset from the most stable computed form, meV per atom: 29
ΔH_f (0 K), kJ/mol of formula units: -51
Crystal system: monoclinic

CIF file:
```
data_Al7Ag5
_chemical_formula_sum 'Al7 Ag5'
_space_group_name_H-M_alt 'P 1'
_space_group_IT_number 1
_space_group_name_Hall 'P 1'
_cell_length_a 5.676
_cell_length_b 5.676
_cell_length_c 8.523
_cell_angle_alpha 119.82
_cell_angle_beta 119.82
_cell_angle_gamma 59.96
loop_
_atom_site_label
_atom_site_type_symbol
_atom_site_fract_x
_atom_site_fract_y
_atom_site_fract_z
_atom_site_occupancy
Al1 Al 0.000 0.000 0.000 1
Al2 Al 0.170 0.671 0.668 1
Al3 Al 0.329 0.830 0.332 1
Al4 Al 0.332 0.332 0.333 1
Al5 Al 0.668 0.668 0.667 1
Al6 Al 0.671 0.170 0.668 1
Al7 Al 0.830 0.329 0.332 1
Ag1 Ag 0.000 0.500 0.000 1
Ag2 Ag 0.169 0.169 0.657 1
Ag3 Ag 0.500 0.000 0.000 1
Ag4 Ag 0.500 0.500 0.000 1
Ag5 Ag 0.831 0.831 0.343 1
```

| no. | VASP energy (eV/atom) |
| --- | --- |
| 1 | -18.278 |
| 2 | -11.158 |
| 3 | -13.674 |
| 4 | -16.383 |
| 5 | -19.657 |
| 6 | -17.636 |